1:
Material: Pm3YTm7
Method: DFT, PBE-GGA
State: relaxed

```
11
Lattice="8.603 0.000 0.000 0.000 7.007 0.000 0.000 -3.503 6.068" Properties=species:S:1:pos:R:3 pbc="T T T"
Pm 6.746 1.756 3.032
Pm 6.746 3.503 0.004
Pm 6.746 5.251 3.032
Y 3.827 0.000 4.045
Tm 1.037 -1.747 5.054
Tm 1.037 0.000 2.028
Tm 1.052 3.503 2.023
Tm 3.825 5.246 1.016
Tm 3.825 1.761 1.016
Tm 3.825 3.503 4.035
Tm 1.037 1.747 5.054
```

Magnetic moment ... 0.000 μB/f.u.
Crystal system ... trigonal

2:
Material: Pm3YTm7
Method: DFT, PBE-GGA
State: relaxed

```
11
Lattice="-0.160 1.017 -5.370 -7.877 -6.055 -0.912 -1.889 5.478 6.660" Properties=species:S:1:pos:R:3 pbc="T T T"
Pm -1.543 4.578 3.698
Pm -3.938 -3.027 -0.456
Pm -8.383 -4.137 -3.320
Y -4.963 0.220 0.189
Tm -8.404 0.892 0.417
Tm -6.412 -1.474 -2.872
Tm -3.298 -0.498 -2.779
Tm -6.627 0.938 3.157
Tm -1.025 3.248 0.645
Tm -3.514 1.915 3.251
Tm -1.522 -0.452 -0.039
```

Magnetic moment ... 0.000 μB/f.u.
Crystal system ... monoclinic

Which structure is the most stable? The one labeled 2.